A plane-wave DFT calculation with PBE-GGA was carried out for a geometry-optimized CsMg2Hg2 structure.

Values from the calculation:
- energy of formation from the pure elements (eV per atom) = -0.06
- SG = P4/mbm
- DOS at the Fermi energy (states/eV per cell) = 3.83
- final energy (eV/atom) = -0.988
- crystal system = tetragonal
- energy above the most stable polymorph in this dataset (eV/f.u.) = 0.40

```
CsMg2Hg2
1.0
9.134 0.000 0.000
0.000 9.134 0.000
0.000 0.000 3.485
Cs Mg Hg
2 4 4
Direct
0.000 0.000 0.000
0.500 0.500 0.000
0.121 0.379 0.000
0.379 0.879 0.000
0.621 0.121 0.000
0.879 0.621 0.000
0.163 0.663 0.500
0.337 0.163 0.500
0.663 0.837 0.500
0.837 0.337 0.500
```


A plane-wave DFT calculation with PBE-GGA was carried out for a geometry-optimized La3Nd2Ga4 structure.

Values from the calculation:
- energy of formation from the pure elements (eV per atom) = -0.50
- SG = P2_1/c
- DOS at the Fermi energy (states/eV per cell) = 18.04
- final energy (eV/atom) = -4.551
- crystal system = monoclinic

```
La3Nd2Ga4
1.0
8.403 0.000 0.000
0.000 8.392 0.000
-2.068 0.000 7.310
La Nd Ga
6 4 8
Direct
0.000 0.000 0.000
0.000 0.500 0.500
0.264 0.178 0.749
0.264 0.322 0.249
0.736 0.678 0.751
0.736 0.822 0.251
0.314 0.688 0.928
0.314 0.812 0.428
0.686 0.188 0.572
0.686 0.312 0.072
0.019 0.623 0.114
0.019 0.877 0.614
0.423 0.027 0.136
0.423 0.473 0.636
0.577 0.527 0.364
0.577 0.973 0.864
0.981 0.123 0.386
0.981 0.377 0.886
```


A plane-wave DFT calculation with PBE-GGA was carried out for a geometry-optimized Mg3Tc2 structure.

Values from the calculation:
- energy of formation from the pure elements (eV per atom) = 0.24
- SG = Immm
- DOS at the Fermi energy (states/eV per cell) = 3.81
- final energy (eV/atom) = -4.858
- crystal system = orthorhombic
- energy above the most stable polymorph in this dataset (eV/f.u.) = 1.24

```
Mg3Tc2
1.0
-1.394 2.247 6.904
1.394 -2.247 6.904
1.394 2.247 -6.904
Mg Tc
3 2
Direct
0.000 0.000 0.000
0.196 0.196 0.000
0.804 0.804 0.000
0.414 0.414 0.000
0.586 0.586 0.000
```


A plane-wave DFT calculation with PBE-GGA was carried out for a geometry-optimized Zr2Cd2Bi structure.

Values from the calculation:
- energy of formation from the pure elements (eV per atom) = 0.11
- SG = P4/mbm
- DOS at the Fermi energy (states/eV per cell) = 9.07
- final energy (eV/atom) = -4.448
- crystal system = tetragonal
- energy above the most stable polymorph in this dataset (eV/f.u.) = 0.60

```
Zr2Cd2Bi
1.0
8.473 0.000 0.000
0.000 8.473 0.000
0.000 0.000 3.387
Zr Cd Bi
4 4 2
Direct
0.175 0.325 0.000
0.325 0.825 0.000
0.675 0.175 0.000
0.825 0.675 0.000
0.121 0.621 0.500
0.379 0.121 0.500
0.621 0.879 0.500
0.879 0.379 0.500
0.000 0.000 0.500
0.500 0.500 0.500
```


A plane-wave DFT calculation with PBE-GGA was carried out for a geometry-optimized Tm6In3Bi structure.

Values from the calculation:
- energy of formation from the pure elements (eV per atom) = -0.29
- SG = Cmc2_1
- DOS at the Fermi energy (states/eV per cell) = 16.50
- final energy (eV/atom) = -4.185
- crystal system = orthorhombic

```
Tm6In3Bi
1.0
4.889 -8.691 0.000
4.889 8.691 0.000
0.000 0.000 6.671
Tm In Bi
12 6 2
Direct
0.007 0.993 0.500
0.086 0.548 0.980
0.250 0.366 0.728
0.297 0.703 0.514
0.366 0.250 0.228
0.452 0.914 0.980
0.548 0.086 0.480
0.634 0.750 0.728
0.703 0.297 0.014
0.750 0.634 0.228
0.914 0.452 0.480
0.993 0.007 0.000
0.092 0.312 0.267
0.312 0.092 0.767
0.414 0.586 0.121
0.586 0.414 0.621
0.688 0.908 0.267
0.908 0.688 0.767
0.153 0.847 0.231
0.847 0.153 0.731
```


A plane-wave DFT calculation with PBE-GGA was carried out for a geometry-optimized KZr2Sb structure.

Values from the calculation:
- SG = Immm
- DOS at the Fermi energy (states/eV per cell) = 4.75
- formation energy (no corrections) (eV per atom) = 0.209
- final energy (eV/atom) = -5.370
- crystal system = orthorhombic

```
KZr2Sb
1.0
-1.572 2.911 6.124
1.572 -2.911 6.124
1.572 2.911 -6.124
K Zr Sb
1 2 1
Direct
0.000 0.000 0.000
0.291 0.791 0.500
0.709 0.209 0.500
0.500 0.500 0.000
```


A plane-wave DFT calculation with PBE-GGA was carried out for a geometry-optimized TmNb3Ge2 structure.

Values from the calculation:
- energy of formation from the pure elements (eV per atom) = -0.38
- SG = C2/m
- DOS at the Fermi energy (states/eV per cell) = 7.25
- final energy (eV/atom) = -7.695
- crystal system = monoclinic

```
TmNb3Ge2
1.0
7.344 -2.199 0.000
7.344 2.199 0.000
-4.218 0.000 7.443
Tm Nb Ge
2 6 4
Direct
0.143 0.143 0.071
0.857 0.857 0.929
0.047 0.047 0.366
0.314 0.314 0.526
0.419 0.419 0.331
0.581 0.581 0.669
0.686 0.686 0.474
0.953 0.953 0.634
0.200 0.200 0.721
0.482 0.482 0.847
0.518 0.518 0.153
0.800 0.800 0.279
```


A plane-wave DFT calculation with PBE-GGA was carried out for a geometry-optimized Nd2SmY5Ho structure.

Values from the calculation:
- energy of formation from the pure elements (eV per atom) = 0.25
- SG = I4/mcm
- DOS at the Fermi energy (states/eV per cell) = 21.43
- final energy (eV/atom) = -5.434
- crystal system = tetragonal

```
Nd2SmY5Ho
1.0
-4.326 4.326 7.906
4.326 -4.326 7.906
4.326 4.326 -7.906
Nd Sm Y Ho
4 2 10 2
Direct
0.118 0.618 0.737
0.382 0.118 0.500
0.618 0.882 0.500
0.882 0.382 0.263
0.250 0.750 0.500
0.750 0.250 0.500
0.000 0.000 0.000
0.070 0.151 0.500
0.151 0.651 0.082
0.349 0.430 0.500
0.430 0.930 0.082
0.500 0.500 0.000
0.570 0.070 0.918
0.651 0.570 0.500
0.849 0.349 0.918
0.930 0.849 0.500
0.250 0.250 0.000
0.750 0.750 0.000
```


A plane-wave DFT calculation with PBE-GGA was carried out for a geometry-optimized CsScGe3 structure.

Values from the calculation:
- energy of formation from the pure elements (eV per atom) = 1.69
- SG = Pm-3m
- DOS at the Fermi energy (states/eV per cell) = 7.73
- final energy (eV/atom) = -2.513
- crystal system = cubic
- energy above the most stable polymorph in this dataset (eV/f.u.) = 7.45

```
CsScGe3
1.0
5.510 0.000 0.000
0.000 5.510 0.000
0.000 0.000 5.510
Cs Sc Ge
1 1 3
Direct
0.000 0.000 0.000
0.500 0.500 0.500
0.000 0.000 0.500
0.000 0.500 0.000
0.500 0.000 0.000
```


A plane-wave DFT calculation with PBE-GGA was carried out for a geometry-optimized Ti2TlPdBr structure.

Values from the calculation:
- SG = P4/mmm
- DOS at the Fermi energy (states/eV per cell) = 6.68
- formation energy (no corrections) (eV per atom) = 0.956
- final energy (eV/atom) = -4.048
- crystal system = tetragonal
- energy above the most stable polymorph in this dataset (eV/f.u.) = 1.18

```
Ti2TlPdBr
1.0
5.310 0.000 0.000
0.000 5.310 0.000
0.000 0.000 5.032
Ti Tl Pd Br
2 1 1 1
Direct
0.000 0.500 0.000
0.500 0.000 0.000
0.000 0.000 0.000
0.000 0.000 0.500
0.500 0.500 0.500
```


A plane-wave DFT calculation with PBE-GGA was carried out for a geometry-optimized CaCdGe2Cl structure.

Values from the calculation:
- SG = P4/mmm
- DOS at the Fermi energy (states/eV per cell) = 5.57
- formation energy (no corrections) (eV per atom) = 0.069
- final energy (eV/atom) = -2.731
- crystal system = tetragonal

```
CaCdGe2Cl
1.0
5.051 0.000 0.000
0.000 5.051 0.000
0.000 0.000 5.818
Ca Cd Ge Cl
1 1 2 1
Direct
0.000 0.000 0.000
0.500 0.500 0.500
0.000 0.500 0.500
0.500 0.000 0.500
0.500 0.500 0.000
```


A plane-wave DFT calculation with PBE-GGA was carried out for a geometry-optimized Pm3Ho6Th structure.

Values from the calculation:
- energy of formation from the pure elements (eV per atom) = 0.31
- SG = R32
- DOS at the Fermi energy (states/eV per cell) = 19.92
- final energy (eV/atom) = -4.606
- crystal system = trigonal
- energy above the most stable polymorph in this dataset (eV/f.u.) = 2.30

```
Pm3Ho6Th
1.0
4.941 2.852 3.912
-4.941 2.852 3.912
0.000 -5.705 3.912
Pm Ho Th
3 6 1
Direct
0.000 0.000 0.000
0.243 0.243 0.243
0.757 0.757 0.757
0.000 0.668 0.332
0.173 0.500 0.827
0.332 0.000 0.668
0.500 0.827 0.173
0.668 0.332 0.000
0.827 0.173 0.500
0.500 0.500 0.500
```


A plane-wave DFT calculation with PBE-GGA was carried out for a geometry-optimized BaNiP2 structure.

Values from the calculation:
- energy of formation from the pure elements (eV per atom) = 0.35
- SG = Cmmm
- DOS at the Fermi energy (states/eV per cell) = 3.69
- final energy (eV/atom) = -4.279
- crystal system = orthorhombic

```
BaNiP2
1.0
2.857 -3.488 0.000
2.857 3.488 0.000
0.000 0.000 4.268
Ba Ni P
1 1 2
Direct
0.000 0.000 0.000
0.500 0.500 0.000
0.000 0.500 0.500
0.500 0.000 0.500
```


A plane-wave DFT calculation with PBE-GGA was carried out for a geometry-optimized Tb4NdY6 structure.

Values from the calculation:
- energy of formation from the pure elements (eV per atom) = 0.43
- SG = I-42m
- DOS at the Fermi energy (states/eV per cell) = 15.94
- final energy (eV/atom) = -5.215
- crystal system = tetragonal
- energy above the most stable polymorph in this dataset (eV/f.u.) = 3.43

```
Tb4NdY6
1.0
-3.849 3.849 6.529
3.849 -3.849 6.529
3.849 3.849 -6.529
Tb Nd Y
4 1 6
Direct
0.259 0.259 0.667
0.409 0.741 0.000
0.591 0.591 0.333
0.741 0.409 0.000
0.000 0.000 0.000
0.000 0.500 0.500
0.060 0.566 0.000
0.434 0.434 0.494
0.500 0.000 0.500
0.566 0.060 0.000
0.940 0.940 0.506
```


A plane-wave DFT calculation with PBE-GGA was carried out for a geometry-optimized HoInI2 structure.

Values from the calculation:
- SG = R-3m
- DOS at the Fermi energy (states/eV per cell) = 2.48
- formation energy (no corrections) (eV per atom) = -0.691
- final energy (eV/atom) = -3.295
- crystal system = trigonal

```
HoInI2
1.0
1.956 1.129 11.241
-1.956 1.129 11.241
0.000 -2.259 11.241
Ho In I
1 1 2
Direct
0.000 0.000 0.000
0.500 0.500 0.500
0.395 0.395 0.395
0.605 0.605 0.605
```


A plane-wave DFT calculation with PBE-GGA was carried out for a geometry-optimized TiCoGe2 structure.

Values from the calculation:
- energy of formation from the pure elements (eV per atom) = 0.05
- SG = I-42d
- DOS at the Fermi energy (states/eV per cell) = 8.37
- final energy (eV/atom) = -6.009
- crystal system = tetragonal

```
TiCoGe2
1.0
-1.914 1.914 8.695
1.914 -1.914 8.695
1.914 1.914 -8.695
Ti Co Ge
2 2 4
Direct
0.000 0.000 0.000
0.750 0.250 0.500
0.250 0.750 0.500
0.500 0.500 0.000
0.149 0.625 0.024
0.375 0.399 0.524
0.601 0.125 0.976
0.875 0.851 0.476
```


A plane-wave DFT calculation with PBE-GGA was carried out for a geometry-optimized Tl2ReIr structure.

Values from the calculation:
- energy of formation from the pure elements (eV per atom) = 1.03
- SG = Cmmm
- DOS at the Fermi energy (states/eV per cell) = 4.04
- final energy (eV/atom) = -5.478
- crystal system = orthorhombic
- energy above the most stable polymorph in this dataset (eV/f.u.) = 2.32

```
Tl2ReIr
1.0
3.150 -3.917 0.000
3.150 3.917 0.000
0.000 0.000 3.009
Tl Re Ir
2 1 1
Direct
0.000 0.500 0.000
0.500 0.000 0.000
0.000 0.000 0.500
0.500 0.500 0.500
```


A plane-wave DFT calculation with PBE-GGA was carried out for a geometry-optimized B2Ru5 structure.

Values from the calculation:
- energy of formation from the pure elements (eV per atom) = -0.09
- SG = C2/c
- DOS at the Fermi energy (states/eV per cell) = 13.35
- final energy (eV/atom) = -8.620
- crystal system = monoclinic

```
B2Ru5
1.0
6.342 -2.415 0.000
6.342 2.415 0.000
-0.683 0.000 5.396
B Ru
4 10
Direct
0.070 0.706 0.922
0.294 0.930 0.578
0.706 0.070 0.422
0.930 0.294 0.078
0.089 0.911 0.250
0.125 0.310 0.800
0.310 0.125 0.300
0.312 0.498 0.585
0.498 0.312 0.085
0.502 0.688 0.915
0.688 0.502 0.415
0.690 0.875 0.700
0.875 0.690 0.200
0.911 0.089 0.750
```


A plane-wave DFT calculation with PBE-GGA was carried out for a geometry-optimized K4Pa3CuSe8 structure.

Values from the calculation:
- SG = C2/m
- DOS at the Fermi energy (states/eV per cell) = 19.05
- formation energy (no corrections) (eV per atom) = -1.189
- final energy (eV/atom) = -5.242
- crystal system = monoclinic

```
K4Pa3CuSe8
1.0
7.236 -4.156 0.000
7.236 4.156 0.000
-4.828 0.000 7.754
K Pa Cu Se
4 3 1 8
Direct
0.000 0.000 0.000
0.000 0.500 0.000
0.500 0.000 0.000
0.500 0.500 0.000
0.000 0.000 0.500
0.000 0.500 0.500
0.500 0.000 0.500
0.500 0.500 0.500
0.237 0.237 0.712
0.238 0.731 0.702
0.265 0.265 0.296
0.269 0.762 0.298
0.731 0.238 0.702
0.735 0.735 0.704
0.762 0.269 0.298
0.763 0.763 0.288
```


A plane-wave DFT calculation with PBE-GGA was carried out for a geometry-optimized SmAlIn2Pd4 structure.

Values from the calculation:
- energy of formation from the pure elements (eV per atom) = -0.69
- SG = R-3m
- DOS at the Fermi energy (states/eV per cell) = 3.46
- final energy (eV/atom) = -5.030
- crystal system = trigonal

```
SmAlIn2Pd4
1.0
2.321 1.340 8.007
-2.321 1.340 8.007
0.000 -2.681 8.007
Sm Al In Pd
1 1 2 4
Direct
0.000 0.000 0.000
0.500 0.500 0.500
0.249 0.249 0.249
0.751 0.751 0.751
0.132 0.132 0.132
0.396 0.396 0.396
0.604 0.604 0.604
0.868 0.868 0.868
```


A plane-wave DFT calculation with PBE-GGA was carried out for a geometry-optimized CsCa2N2 structure.

Values from the calculation:
- SG = I4/mmm
- DOS at the Fermi energy (states/eV per cell) = 8.83
- formation energy (no corrections) (eV per atom) = -0.116
- final energy (eV/atom) = -4.418
- crystal system = tetragonal

```
CsCa2N2
1.0
-2.229 2.229 6.700
2.229 -2.229 6.700
2.229 2.229 -6.700
Cs Ca N
1 2 2
Direct
0.000 0.000 0.000
0.250 0.750 0.500
0.750 0.250 0.500
0.316 0.316 0.000
0.684 0.684 0.000
```


A plane-wave DFT calculation with PBE-GGA was carried out for a geometry-optimized PrSn2Rh3 structure.

Values from the calculation:
- energy of formation from the pure elements (eV per atom) = -0.64
- SG = P-3m1
- DOS at the Fermi energy (states/eV per cell) = 3.72
- final energy (eV/atom) = -6.447
- crystal system = trigonal

```
PrSn2Rh3
1.0
4.550 0.000 0.000
-2.275 3.941 0.000
0.000 0.000 6.675
Pr Sn Rh
1 2 3
Direct
0.000 0.000 0.000
0.333 0.667 0.678
0.667 0.333 0.322
0.000 0.000 0.500
0.333 0.667 0.277
0.667 0.333 0.723
```


A plane-wave DFT calculation with PBE-GGA was carried out for a geometry-optimized TbEr3Pt2 structure.

Values from the calculation:
- energy of formation from the pure elements (eV per atom) = -0.87
- SG = Ibam
- DOS at the Fermi energy (states/eV per cell) = 11.40
- final energy (eV/atom) = -5.935
- crystal system = orthorhombic
- energy above the most stable polymorph in this dataset (eV/f.u.) = 0.66

```
TbEr3Pt2
1.0
-3.438 6.805 3.511
3.438 -6.805 3.511
3.438 6.805 -3.511
Tb Er Pt
2 6 4
Direct
0.000 0.000 0.000
0.500 0.500 0.000
0.013 0.250 0.763
0.250 0.750 0.500
0.487 0.250 0.237
0.513 0.750 0.763
0.750 0.250 0.500
0.987 0.750 0.237
0.141 0.710 0.850
0.359 0.210 0.569
0.641 0.790 0.431
0.859 0.290 0.150
```